(1)
Ca2ZrBe2O6 after structural relaxation, computed with GGA-PBE.

Summary:
**SG**: P-3 (147)
**Energy relative to the elements, uncorrected**: -2.799 eV/atom
**Final energy**: -7.3224 eV/atom
**Crystal system**: trigonal
**Density of states at the Fermi level**: 0.0 states/eV per cell
**Total moment**: 0.00 Bohr magnetons per cell

```
data_Ca2ZrBe2O6
_cell_length_a 5.321
_cell_length_b 5.321
_cell_length_c 5.737
_cell_angle_alpha 90.00
_cell_angle_beta 90.00
_cell_angle_gamma 120.00
_symmetry_space_group_name_H-M 'P 1'
_symmetry_Int_Tables_number 1
_symmetry_space_group_name_Hall 'P 1'
loop_
_atom_site_label
_atom_site_type_symbol
_atom_site_fract_x
_atom_site_fract_y
_atom_site_fract_z
O1 O 0.924 0.282 0.219
O2 O 0.076 0.718 0.781
O3 O 0.282 0.357 0.781
O4 O 0.357 0.076 0.219
O5 O 0.643 0.924 0.781
O6 O 0.718 0.643 0.219
Ca1 Ca 0.667 0.333 0.642
Ca2 Ca 0.333 0.667 0.358
Be1 Be 0.667 0.333 0.181
Be2 Be 0.333 0.667 0.819
Zr1 Zr 0.000 0.000 0.000
```



(2)
CaBeOs2 after structural relaxation, computed with GGA-PBE.

Summary:
**DFT formation energy**: 0.689 eV/atom
**SG**: I-42d (122)
**Final energy**: -6.3581 eV/atom
**Crystal system**: tetragonal
**Density of states at the Fermi level**: 7.0 states/eV per cell
**Total moment**: 0.00 Bohr magnetons per cell

```
data_CaBeOs2
_cell_length_a 4.585
_cell_length_b 4.585
_cell_length_c 8.700
_cell_angle_alpha 74.72
_cell_angle_beta 74.72
_cell_angle_gamma 90.00
_symmetry_space_group_name_H-M 'P 1'
_symmetry_Int_Tables_number 1
_symmetry_space_group_name_Hall 'P 1'
loop_
_atom_site_label
_atom_site_type_symbol
_atom_site_fract_x
_atom_site_fract_y
_atom_site_fract_z
Ca1 Ca 0.750 0.250 0.500
Ca2 Ca 0.000 0.000 0.000
Os1 Os 0.319 0.125 0.250
Os2 Os 0.375 0.681 0.750
Os3 Os 0.431 0.625 0.250
Os4 Os 0.875 0.569 0.750
Be1 Be 0.500 0.500 0.000
Be2 Be 0.250 0.750 0.500
```



(3)
CaBeOs2 after structural relaxation, computed with GGA-PBE.

Summary:
**DFT formation energy**: 0.461 eV/atom
**SG**: R-3m (166)
**Final energy**: -6.5858 eV/atom
**Crystal system**: trigonal
**Density of states at the Fermi level**: 2.7 states/eV per cell
**Total moment**: 0.00 Bohr magnetons per cell

```
data_CaBeOs2
_cell_length_a 8.468
_cell_length_b 8.468
_cell_length_c 8.468
_cell_angle_alpha 19.55
_cell_angle_beta 19.55
_cell_angle_gamma 19.55
_symmetry_space_group_name_H-M 'P 1'
_symmetry_Int_Tables_number 1
_symmetry_space_group_name_Hall 'P 1'
loop_
_atom_site_label
_atom_site_type_symbol
_atom_site_fract_x
_atom_site_fract_y
_atom_site_fract_z
Be1 Be 0.250 0.250 0.250
Os1 Os 0.516 0.516 0.516
Os2 Os 0.984 0.984 0.984
Ca1 Ca 0.750 0.750 0.750
```



(4)
CaBe2Os after structural relaxation, computed with GGA-PBE.

Summary:
**DFT formation energy**: 0.379 eV/atom
**SG**: I4_1/amd (141)
**Final energy**: -4.7916 eV/atom
**Crystal system**: tetragonal
**Density of states at the Fermi level**: 3.1 states/eV per cell
**Energy above the most stable polymorph in this dataset**: 1.62 eV/f.u.
**Total moment**: 0.00 Bohr magnetons per cell

```
data_CaBe2Os
_cell_length_a 4.335
_cell_length_b 4.335
_cell_length_c 8.339
_cell_angle_alpha 74.93
_cell_angle_beta 74.93
_cell_angle_gamma 90.00
_symmetry_space_group_name_H-M 'P 1'
_symmetry_Int_Tables_number 1
_symmetry_space_group_name_Hall 'P 1'
loop_
_atom_site_label
_atom_site_type_symbol
_atom_site_fract_x
_atom_site_fract_y
_atom_site_fract_z
Ca1 Ca 0.250 0.750 0.500
Ca2 Ca 0.500 0.500 0.000
Os1 Os 0.750 0.250 0.500
Os2 Os 0.000 0.000 0.000
Be1 Be 0.875 0.625 0.250
Be2 Be 0.375 0.125 0.750
Be3 Be 0.875 0.125 0.750
Be4 Be 0.875 0.125 0.250
```



(5)
Ca2BeOs after structural relaxation, computed with GGA-PBE.

Summary:
**DFT formation energy**: 0.647 eV/atom
**SG**: Pmmm (47)
**Final energy**: -4.0924 eV/atom
**Crystal system**: orthorhombic
**Density of states at the Fermi level**: 4.2 states/eV per cell
**Total moment**: 0.17 Bohr magnetons per cell

```
data_Ca2BeOs
_cell_length_a 2.946
_cell_length_b 4.051
_cell_length_c 6.877
_cell_angle_alpha 90.00
_cell_angle_beta 90.00
_cell_angle_gamma 90.00
_symmetry_space_group_name_H-M 'P 1'
_symmetry_Int_Tables_number 1
_symmetry_space_group_name_Hall 'P 1'
loop_
_atom_site_label
_atom_site_type_symbol
_atom_site_fract_x
_atom_site_fract_y
_atom_site_fract_z
Os1 Os 0.500 0.500 0.250
Be1 Be 0.500 0.500 0.750
Ca1 Ca 0.000 0.000 0.006
Ca2 Ca 0.000 0.000 0.494
```



(6)
CaBe2Os after structural relaxation, computed with GGA-PBE.

Summary:
**DFT formation energy**: 0.117 eV/atom
**SG**: Amm2 (38)
**Final energy**: -5.0538 eV/atom
**Crystal system**: orthorhombic
**Density of states at the Fermi level**: 1.0 states/eV per cell
**Energy above the most stable polymorph in this dataset**: 0.57 eV/f.u.
**Total moment**: 0.00 Bohr magnetons per cell

```
data_CaBe2Os
_cell_length_a 3.388
_cell_length_b 3.194
_cell_length_c 5.832
_cell_angle_alpha 74.11
_cell_angle_beta 90.00
_cell_angle_gamma 90.00
_symmetry_space_group_name_H-M 'P 1'
_symmetry_Int_Tables_number 1
_symmetry_space_group_name_Hall 'P 1'
loop_
_atom_site_label
_atom_site_type_symbol
_atom_site_fract_x
_atom_site_fract_y
_atom_site_fract_z
Be1 Be 0.500 0.102 0.172
Be2 Be 0.000 0.207 0.959
Os1 Os 0.500 0.742 0.890
Ca1 Ca 0.000 0.448 0.479
```



(7)
CaBe2Os after structural relaxation, computed with GGA-PBE.

Summary:
**DFT formation energy**: 0.264 eV/atom
**SG**: P4mm (99)
**Final energy**: -4.9074 eV/atom
**Crystal system**: tetragonal
**Density of states at the Fermi level**: 1.3 states/eV per cell
**Energy above the most stable polymorph in this dataset**: 1.16 eV/f.u.
**Total moment**: 0.00 Bohr magnetons per cell

```
data_CaBe2Os
_cell_length_a 3.142
_cell_length_b 3.142
_cell_length_c 6.478
_cell_angle_alpha 90.00
_cell_angle_beta 90.00
_cell_angle_gamma 90.00
_symmetry_space_group_name_H-M 'P 1'
_symmetry_Int_Tables_number 1
_symmetry_space_group_name_Hall 'P 1'
loop_
_atom_site_label
_atom_site_type_symbol
_atom_site_fract_x
_atom_site_fract_y
_atom_site_fract_z
Ca1 Ca 0.000 0.000 0.518
Be1 Be 0.000 0.000 0.957
Be2 Be 0.500 0.500 0.174
Os1 Os 0.500 0.500 0.851
```



(8)
CaBeOs4 after structural relaxation, computed with GGA-PBE.

Summary:
**DFT formation energy**: 0.570 eV/atom
**SG**: F-43m (216)
**Final energy**: -7.8706 eV/atom
**Crystal system**: cubic
**Density of states at the Fermi level**: 7.9 states/eV per cell
**Total moment**: 0.00 Bohr magnetons per cell

```
data_CaBeOs4
_cell_length_a 5.217
_cell_length_b 5.217
_cell_length_c 5.217
_cell_angle_alpha 60.00
_cell_angle_beta 60.00
_cell_angle_gamma 60.00
_symmetry_space_group_name_H-M 'P 1'
_symmetry_Int_Tables_number 1
_symmetry_space_group_name_Hall 'P 1'
loop_
_atom_site_label
_atom_site_type_symbol
_atom_site_fract_x
_atom_site_fract_y
_atom_site_fract_z
Be1 Be 0.750 0.750 0.750
Ca1 Ca 0.000 0.000 0.000
Os1 Os 0.376 0.376 0.873
Os2 Os 0.376 0.873 0.376
Os3 Os 0.873 0.376 0.376
Os4 Os 0.376 0.376 0.376
```



(9)
Ca2BeOs after structural relaxation, computed with GGA-PBE.

Summary:
**DFT formation energy**: 1.121 eV/atom
**SG**: I-42d (122)
**Final energy**: -3.6188 eV/atom
**Crystal system**: tetragonal
**Density of states at the Fermi level**: 6.3 states/eV per cell
**Total moment**: 1.79 Bohr magnetons per cell

```
data_Ca2BeOs
_cell_length_a 4.031
_cell_length_b 4.031
_cell_length_c 10.348
_cell_angle_alpha 78.77
_cell_angle_beta 78.77
_cell_angle_gamma 90.00
_symmetry_space_group_name_H-M 'P 1'
_symmetry_Int_Tables_number 1
_symmetry_space_group_name_Hall 'P 1'
loop_
_atom_site_label
_atom_site_type_symbol
_atom_site_fract_x
_atom_site_fract_y
_atom_site_fract_z
Ca1 Ca 0.124 0.625 0.250
Ca2 Ca 0.375 0.374 0.750
Ca3 Ca 0.626 0.125 0.250
Ca4 Ca 0.875 0.876 0.750
Os1 Os 0.000 0.000 0.000
Os2 Os 0.750 0.250 0.500
Be1 Be 0.500 0.500 0.000
Be2 Be 0.250 0.750 0.500
```



(10)
Ca4BeOs after structural relaxation, computed with GGA-PBE.

Summary:
**DFT formation energy**: 1.257 eV/atom
**SG**: F-43m (216)
**Final energy**: -2.5696 eV/atom
**Crystal system**: cubic
**Density of states at the Fermi level**: 8.6 states/eV per cell
**Total moment**: 0.00 Bohr magnetons per cell

```
data_Ca4BeOs
_cell_length_a 5.970
_cell_length_b 5.970
_cell_length_c 5.970
_cell_angle_alpha 60.00
_cell_angle_beta 60.00
_cell_angle_gamma 60.00
_symmetry_space_group_name_H-M 'P 1'
_symmetry_Int_Tables_number 1
_symmetry_space_group_name_Hall 'P 1'
loop_
_atom_site_label
_atom_site_type_symbol
_atom_site_fract_x
_atom_site_fract_y
_atom_site_fract_z
Be1 Be 0.000 0.000 0.000
Ca1 Ca 0.872 0.376 0.376
Ca2 Ca 0.376 0.376 0.376
Ca3 Ca 0.376 0.872 0.376
Ca4 Ca 0.376 0.376 0.872
Os1 Os 0.750 0.750 0.750
```



(11)
CaBeOs2 after structural relaxation, computed with GGA-PBE.

Summary:
**DFT formation energy**: 0.293 eV/atom
**SG**: Amm2 (38)
**Final energy**: -6.7538 eV/atom
**Crystal system**: orthorhombic
**Density of states at the Fermi level**: 2.9 states/eV per cell
**Total moment**: 0.00 Bohr magnetons per cell

```
data_CaBeOs2
_cell_length_a 4.103
_cell_length_b 2.904
_cell_length_c 5.874
_cell_angle_alpha 75.70
_cell_angle_beta 90.00
_cell_angle_gamma 90.00
_symmetry_space_group_name_H-M 'P 1'
_symmetry_Int_Tables_number 1
_symmetry_space_group_name_Hall 'P 1'
loop_
_atom_site_label
_atom_site_type_symbol
_atom_site_fract_x
_atom_site_fract_y
_atom_site_fract_z
Ca1 Ca 0.500 0.704 0.718
Os1 Os 0.000 0.010 0.105
Os2 Os 0.500 0.439 0.246
Be1 Be 0.000 0.347 0.431
```



(12)
CaBe2Os after structural relaxation, computed with GGA-PBE.

Summary:
**DFT formation energy**: 0.728 eV/atom
**SG**: F-43m (216)
**Final energy**: -4.4431 eV/atom
**Crystal system**: cubic
**Density of states at the Fermi level**: 1.1 states/eV per cell
**Energy above the most stable polymorph in this dataset**: 3.02 eV/f.u.
**Total moment**: 0.00 Bohr magnetons per cell

```
data_CaBe2Os
_cell_length_a 4.365
_cell_length_b 4.365
_cell_length_c 4.365
_cell_angle_alpha 60.00
_cell_angle_beta 60.00
_cell_angle_gamma 60.00
_symmetry_space_group_name_H-M 'P 1'
_symmetry_Int_Tables_number 1
_symmetry_space_group_name_Hall 'P 1'
loop_
_atom_site_label
_atom_site_type_symbol
_atom_site_fract_x
_atom_site_fract_y
_atom_site_fract_z
Be1 Be 0.250 0.250 0.250
Be2 Be 0.000 0.000 0.000
Os1 Os 0.750 0.750 0.750
Ca1 Ca 0.500 0.500 0.500
```